No. 1
First-principles (PBE-GGA) data for crystalline ScPdPt at its relaxed geometry, as listed in OQMD via LeMat-Bulk.

The structure in extended XYZ format:
```
3
Lattice="1.486 -3.632 -1.879 -0.261 -3.800 2.102 -2.794 -3.048 -1.355" Properties=species:S:1:pos:R:3 pbc="T T T"
Pd -0.392 -2.620 -0.283
Pt -1.177 -7.860 -0.849
Sc 0.000 0.000 0.000
```

For the formation energy, the calculation gives -0.63 eV per atom. Its energy above the most stable polymorph in this dataset is 0.032 eV per atom.

=====

No. 2
First-principles (PBE-GGA) data for crystalline Tl2Pd3PtSe6 at its relaxed geometry, as listed in OQMD via LeMat-Bulk.

The structure in extended XYZ format:
```
12
Lattice="-5.643 4.725 -1.515 -0.232 -7.067 -2.543 -2.718 -1.674 4.901" Properties=species:S:1:pos:R:3 pbc="T T T"
Pd -2.821 2.363 -0.758
Pd -0.116 -3.534 -1.271
Pd -2.937 -1.171 -2.029
Pt 0.000 0.000 0.000
Se -2.536 0.040 0.119
Se -5.317 2.369 -0.628
Se -5.431 -1.114 -1.881
Se -3.162 -2.903 2.724
Se -3.276 -6.385 1.471
Se -6.057 -4.057 0.724
Tl -3.000 -3.730 -0.462
Tl -5.594 -0.286 1.305
```

For the energy, the calculation gives -4.350 eV per atom.

=====

No. 3
First-principles (PBE-GGA) data for crystalline SiPd2Pt at its relaxed geometry, as listed in OQMD via LeMat-Bulk.

The structure in extended XYZ format:
```
4
Lattice="0.000 3.081 3.081 3.081 0.000 3.081 3.081 3.081 0.000" Properties=species:S:1:pos:R:3 pbc="T T T"
Pd 0.000 0.000 0.000
Pd 4.622 4.622 4.622
Pt 1.541 1.541 1.541
Si 3.081 3.081 3.081
```

For the energy, the calculation gives -5.784 eV per atom.

=====

No. 4
First-principles (PBE-GGA) data for crystalline Si2PdPt at its relaxed geometry, as listed in OQMD via LeMat-Bulk.

The structure in extended XYZ format:
```
8
Lattice="-1.443 -1.250 3.873 4.938 -6.880 -0.381 2.364 1.619 1.404" Properties=species:S:1:pos:R:3 pbc="T T T"
Pd 1.995 -3.173 2.127
Pd 4.595 -2.707 0.838
Pt 4.423 -6.570 1.934
Pt 2.152 0.680 1.022
Si 2.073 -1.665 0.235
Si 4.528 -5.081 0.047
Si 4.502 -4.224 2.721
Si 2.052 -0.805 2.912
```

Its energy above the most stable polymorph in this dataset is 0.026 eV per atom.

=====

No. 5
First-principles (PBE-GGA) data for crystalline Si2PdPt at its relaxed geometry, as listed in OQMD via LeMat-Bulk.

The structure in extended XYZ format:
```
8
Lattice="3.809 0.000 0.000 0.000 3.744 0.000 0.000 0.000 8.579" Properties=species:S:1:pos:R:3 pbc="T T T"
Pd 1.905 3.739 2.767
Pd 1.905 0.005 7.057
Pt 0.000 1.856 1.514
Pt 0.000 1.888 5.804
Si 1.905 1.870 0.030
Si 0.000 0.016 4.268
Si 1.905 1.875 4.320
Si 0.000 3.728 8.557
```

Its energy above the most stable polymorph in this dataset is 0.089 eV per atom.

=====

No. 6
First-principles (PBE-GGA) data for crystalline SiPdPt2 at its relaxed geometry, as listed in OQMD via LeMat-Bulk.

The structure in extended XYZ format:
```
4
Lattice="0.000 3.108 3.108 3.108 0.000 3.108 3.108 3.108 0.000" Properties=species:S:1:pos:R:3 pbc="T T T"
Pd 1.554 1.554 1.554
Pt 0.000 0.000 0.000
Pt 4.661 4.661 4.661
Si 3.108 3.108 3.108
```

For the energy, the calculation gives -5.890 eV per atom.

=====

No. 7
First-principles (PBE-GGA) data for crystalline Si2PdPt at its relaxed geometry, as listed in OQMD via LeMat-Bulk.

The structure in extended XYZ format:
```
8
Lattice="4.527 0.000 0.000 0.000 3.133 0.000 -0.043 0.000 8.291" Properties=species:S:1:pos:R:3 pbc="T T T"
Pd 1.115 2.350 2.659
Pd 3.369 0.783 5.632
Pt 3.391 0.783 1.422
Pt 1.094 2.350 6.869
Si 1.130 0.783 0.454
Si 3.379 2.350 3.671
Si 1.106 0.783 4.620
Si 3.354 2.350 7.837
```

Its energy above the most stable polymorph in this dataset is 0.000 eV per atom.

=====

No. 8
First-principles (PBE-GGA) data for crystalline Zr2Si2PdPt at its relaxed geometry, as listed in OQMD via LeMat-Bulk.

The structure in extended XYZ format:
```
24
Lattice="-3.048 -6.656 -1.596 0.911 -1.376 3.998 -11.542 6.896 5.004" Properties=species:S:1:pos:R:3 pbc="T T T"
Pd -5.782 3.448 2.505
Pd -6.851 -0.560 3.708
Pd -8.958 2.815 5.350
Pd -11.087 6.204 7.002
Pt -1.524 -3.323 -0.797
Pt -3.642 0.055 0.849
Pt -4.710 -3.955 2.052
Pt -10.936 0.181 2.555
Si -3.878 -2.451 0.040
Si -1.907 0.191 2.840
Si -7.074 -3.079 2.892
Si -6.007 0.940 1.693
Si -8.121 4.330 3.341
Si -9.197 0.303 4.540
Si -13.284 1.059 3.392
Si -11.322 3.692 6.191
Zr -1.276 -0.806 0.013
Zr -2.362 -4.851 1.208
Zr -6.482 -4.079 0.073
Zr -4.503 -1.438 2.871
Zr -8.573 -0.703 1.712
Zr -6.609 1.944 4.515
Zr -10.694 2.701 3.367
Zr -11.794 -1.336 4.568
```

For the energy, the calculation gives -7.417 eV per atom.

=====

Number 1: mass density 9.9 g cm⁻³. Number 2: mass density 8.1 g cm⁻³. Number 3: mass density 12.4 g cm⁻³. Number 4: mass density 10.2 g cm⁻³. Number 5: mass density 9.7 g cm⁻³. Number 6: mass density 14.5 g cm⁻³. Number 7: mass density 10.1 g cm⁻³. Number 8: mass density 7.8 g cm⁻³.